Record 1
Density functional theory data (PBE) for crystalline SrSmAs2Rh5 at its relaxed geometry.

```
SrSmAs2Rh5
1.0
4.3139 0.0000 0.0000
0.0000 4.3139 0.0000
0.0000 0.0000 8.9010
Sr Sm As Rh
1 1 2 5
Direct
0.0000 0.0000 0.5000
0.0000 0.0000 0.0000
0.5000 0.5000 0.1499
0.5000 0.5000 0.8501
0.0000 0.5000 0.2617
0.5000 0.0000 0.2617
0.0000 0.5000 0.7383
0.5000 0.0000 0.7383
0.5000 0.5000 0.5000
```

Output
ΔH_f (0 K): -0.529 eV/atom

---

Record 2
Density functional theory data (PBE) for crystalline Pm2In3Pd4 at its relaxed geometry.

```
Pm2In3Pd4
1.0
-2.9128 -4.2000 -3.2117
6.5785 -3.0315 -2.0020
1.2080 -2.9415 8.4239
Pm In Pd
4 6 8
Direct
0.1039 0.5836 0.2078
0.8961 0.4164 0.7922
0.3961 0.0836 0.7922
0.6039 0.9164 0.2078
0.0000 0.0000 0.0000
0.5000 0.5000 0.0000
0.5136 0.7500 0.5271
0.9864 0.2500 0.4729
0.4864 0.2500 0.4729
0.0136 0.7500 0.5271
0.6783 0.7500 0.8567
0.8217 0.2500 0.1433
0.3217 0.2500 0.1433
0.1783 0.7500 0.8567
0.1657 0.9768 0.3313
0.8343 0.0232 0.6687
0.3343 0.4768 0.6687
0.6657 0.5232 0.3313
```

Output
ΔE to the lowest computed polymorph: 0 meV/atom
ΔH_f (0 K): -0.692 eV/atom

---

Record 3
Density functional theory data (PBE) for crystalline Tb8Tc2Hg at its relaxed geometry.

```
Tb8Tc2Hg
1.0
5.1070 0.0635 -1.5286
-0.8976 6.3173 -2.7301
-0.0780 0.0904 9.0397
Tb Tc Hg
8 2 1
Direct
0.6364 0.2670 0.9088
0.9714 0.0169 0.5794
0.3013 0.3466 0.2389
0.7467 0.9318 0.1297
0.3469 0.8613 0.3306
0.9257 0.4400 0.4877
0.1371 0.5455 0.9095
0.5264 0.7108 0.6889
0.7985 0.6178 0.2347
0.4730 0.2915 0.5826
0.1366 0.9709 0.9092
```

Output
ΔH_f (0 K): -0.110 eV/atom

---

Record 4
Density functional theory data (PBE) for crystalline BePt at its relaxed geometry.

```
BePt
1.0
-1.8869 1.2100 -1.5607
-0.7513 -1.3461 2.2548
0.7701 6.6619 4.2337
Be Pt
2 2
Direct
0.0000 0.0000 0.0093
0.3333 0.6667 0.2407
0.0000 0.0000 0.4617
0.3333 0.6667 0.7883
```

Output
ΔH_f (0 K): -0.226 eV/atom

---

Record 5
Density functional theory data (PBE) for crystalline Al2TlTe at its relaxed geometry.

```
Al2TlTe
1.0
-1.3692 -0.2823 5.7411
1.1347 -5.2525 2.4575
3.0947 3.7658 -3.3401
Tl Te Al
1 1 2
Direct
0.7500 0.2500 0.5000
0.2500 0.7500 0.5000
0.0000 0.0000 0.0000
0.5000 0.5000 0.0000
```

Output
Raw formation energy: 0.254 eV/atom
ΔE to the lowest computed polymorph: 202 meV/atom

---

Record 6
Density functional theory data (PBE) for crystalline PmMgIn4 at its relaxed geometry.

```
PmMgIn4
1.0
-1.4954 3.8403 -2.2403
-4.3347 -0.7228 1.6557
1.7412 4.4852 6.5189
Pm Mg In
1 1 4
Direct
0.5012 0.4975 0.9981
0.0015 0.9970 0.4984
0.5014 0.9973 0.2776
0.5013 0.9976 0.7186
0.0012 0.4971 0.7182
0.0012 0.4972 0.2780
```

Output
ΔE to the lowest computed polymorph: 87 meV/atom
ΔH_f (0 K): -0.034 eV/atom

---

Record 7
Density functional theory data (PBE) for crystalline Pr4Sb2SeS at its relaxed geometry.

```
Pr4Sb2SeS
1.0
8.7598 0.0034 -0.0294
-0.0028 8.7598 -0.0294
-4.3513 -4.3544 6.2237
Pr Sb Se S
8 4 2 2
Direct
0.2316 0.7391 0.9853
0.7609 0.2685 0.5147
0.2391 0.7315 0.4853
0.7685 0.2609 0.0147
0.7577 0.7423 0.9922
0.7577 0.7423 0.5078
0.2423 0.2577 0.4922
0.2423 0.2577 0.0078
0.5000 0.0000 0.0000
0.5000 0.0000 0.5000
0.0000 0.0000 0.5000
0.5000 0.5000 0.0000
0.5000 0.5000 0.5000
0.0000 0.0000 0.0000
0.0000 0.5000 0.0000
0.0000 0.5000 0.5000
```

Output
Raw formation energy: -1.546 eV/atom

---

Record 8
Density functional theory data (PBE) for crystalline La4SbAs2S at its relaxed geometry.

```
La4SbAs2S
1.0
8.7901 0.0056 0.0397
-0.0006 8.7901 0.0397
-4.4056 -4.4087 6.1779
La Sb As S
8 2 4 2
Direct
0.2597 0.7608 0.0102
0.7392 0.2403 0.4898
0.2608 0.7596 0.5102
0.7404 0.2392 0.9898
0.7448 0.7552 0.0009
0.7448 0.7552 0.4991
0.2552 0.2448 0.5009
0.2552 0.2448 0.9991
0.0000 0.5000 0.0000
0.0000 0.5000 0.5000
0.5000 0.0000 0.0000
0.5000 0.0000 0.5000
0.0000 0.0000 0.5000
0.5000 0.5000 0.0000
0.5000 0.5000 0.5000
0.0000 0.0000 0.0000
```

Output
Raw formation energy: -1.641 eV/atom

---

Record 9
Density functional theory data (PBE) for crystalline CePuCI at its relaxed geometry.

```
CePuCI
1.0
-1.5594 0.1728 3.4449
3.5438 -1.2651 -0.4118
2.5233 7.4986 -1.3131
Ce Pu C I
1 1 1 1
Direct
0.5228 0.1594 0.6974
0.0852 0.9405 0.0409
0.3042 0.5501 0.8695
0.9658 0.3809 0.3619
```

Output
Raw formation energy: -0.513 eV/atom

---

Record 10
Density functional theory data (PBE) for crystalline Ge3PS at its relaxed geometry.

```
Ge3PS
1.0
-6.0615 2.6252 2.0267
-3.2544 -4.8584 -3.4403
0.1498 -5.0454 6.9834
Ge P S
12 4 4
Direct
0.2500 0.8981 0.4996
0.7500 0.1019 0.5004
0.2500 0.3981 0.0004
0.7500 0.6019 0.9996
0.0101 0.8445 0.8863
0.5101 0.1555 0.1137
0.4899 0.3445 0.6137
0.9899 0.6555 0.3863
0.9899 0.1555 0.1137
0.4899 0.8445 0.8863
0.5101 0.6555 0.3863
0.0101 0.3445 0.6137
0.7500 0.3920 0.2217
0.2500 0.6080 0.7783
0.7500 0.8920 0.2783
0.2500 0.1080 0.7217
0.7500 0.8407 0.6894
0.2500 0.1593 0.3106
0.7500 0.3407 0.8106
0.2500 0.6593 0.1894
```

Output
Raw formation energy: 0.078 eV/atom
ΔE to the lowest computed polymorph: 0 meV/atom